VASP calculation (PBEsol) on crystalline Ti6Al16Ir7 at its relaxed geometry.

abc: 8.5179 8.5179 8.5179
angles: 60.00 60.00 60.00
Positions (direct):
1 Al 0.0267 0.6578 0.6578
2 Al 0.3609 0.8797 0.8797
3 Al 0.8797 0.8797 0.3609
4 Ir 0.5000 0.5000 0.0000
5 Al 0.8797 0.8797 0.8797
6 Al 0.3422 0.3422 0.9733
7 Al 0.3422 0.3422 0.3422
8 Ti 0.3219 0.3219 0.6781
9 Ti 0.6781 0.3219 0.6781
10 Ti 0.6781 0.3219 0.3219
11 Ir 0.0000 0.0000 0.5000
12 Al 0.3422 0.9733 0.3422
13 Al 0.1203 0.1203 0.6391
14 Al 0.6578 0.0267 0.6578
15 Ir 0.0000 0.0000 0.0000
16 Al 0.6391 0.1203 0.1203
17 Al 0.1203 0.1203 0.1203
18 Ir 0.5000 0.0000 0.0000
19 Ti 0.3219 0.6781 0.6781
20 Ti 0.6781 0.6781 0.3219
21 Al 0.9733 0.3422 0.3422
22 Al 0.6578 0.6578 0.0267
23 Al 0.8797 0.3609 0.8797
24 Al 0.6578 0.6578 0.6578
25 Ir 0.0000 0.5000 0.0000
26 Ir 0.5000 0.0000 0.5000
27 Al 0.1203 0.6391 0.1203
28 Ti 0.3219 0.6781 0.3219
29 Ir 0.0000 0.5000 0.5000

Values from the calculation:
The space-group type is No. 225. Its density of states at the Fermi level is 19.51 states/eV/f.u. The calculated formation energy comes out at -72.63 kJ per mole of atoms.